{
  "formula": "Na4Cd5In2",
  "functional": "PBE-GGA",
  "state": "relaxed",
  "cell": [[7.930, 0.000, 0.000], [0.000, 3.362, 0.000], [-0.738, 0.000, 10.652]],
  "species": ["Na", "Na", "Na", "Na", "Cd", "Cd", "Cd", "Cd", "Cd", "In", "In"],
  "fractional_positions": [[0.156, 0.000, 0.398], [0.298, 0.000, 0.946], [0.702, 0.000, 0.054], [0.844, 0.000, 0.602], [0.213, 0.500, 0.671], [0.425, 0.500, 0.217], [0.500, 0.500, 0.500], [0.575, 0.500, 0.783], [0.787, 0.500, 0.329], [0.055, 0.500, 0.137], [0.945, 0.500, 0.863]],
  "volume_a3_per_cell": 283.95,
  "delta_e_f_ev_per_fu": -0.94,
  "e_above_lowest_polymorph_mev_per_atom": 0,
  "magnetic_moment_mub_per_fu": 0.0,
  "dft_energy_ev_per_cell": -16.3
}



{
  "formula": "ScBeCu2",
  "functional": "PBE-GGA",
  "state": "relaxed",
  "cell": [[3.978, 0.000, 0.000], [0.000, 3.978, 0.000], [0.000, 0.000, 3.565]],
  "species": ["Sc", "Be", "Cu", "Cu"],
  "fractional_positions": [[0.000, 0.000, 0.000], [0.500, 0.500, 0.000], [0.000, 0.500, 0.500], [0.500, 0.000, 0.500]],
  "volume_a3_per_cell": 56.43,
  "delta_e_f_ev_per_fu": 0.26,
  "magnetic_moment_mub_per_fu": 0.0,
  "dft_energy_ev_per_cell": -18.0
}



{
  "formula": "Ta2MoPt",
  "functional": "PBE-GGA",
  "state": "relaxed",
  "cell": [[2.991, -4.078, 0.000], [2.991, 4.078, 0.000], [0.000, 0.000, 2.773]],
  "species": ["Ta", "Ta", "Mo", "Pt"],
  "fractional_positions": [[0.000, 0.500, 0.000], [0.500, 0.000, 0.000], [0.000, 0.000, 0.500], [0.500, 0.500, 0.500]],
  "volume_a3_per_cell": 67.65,
  "delta_e_f_ev_per_fu": -0.77,
  "magnetic_moment_mub_per_fu": 0.0,
  "dft_energy_ev_per_cell": -41.4
}



{
  "formula": "Pr3AlTl3S8",
  "functional": "PBE-GGA",
  "state": "relaxed",
  "cell": [[7.097, -4.097, 0.000], [7.097, 4.097, 0.000], [-4.741, 0.000, 7.324]],
  "species": ["Pr", "Pr", "Pr", "Al", "Tl", "Tl", "Tl", "S", "S", "S", "S", "S", "S", "S", "S"],
  "fractional_positions": [[0.000, 0.000, 0.000], [0.000, 0.500, 0.000], [0.500, 0.000, 0.000], [0.500, 0.500, 0.000], [0.000, 0.500, 0.500], [0.500, 0.000, 0.500], [0.500, 0.500, 0.500], [0.238, 0.238, 0.212], [0.270, 0.711, 0.191], [0.289, 0.730, 0.809], [0.290, 0.290, 0.809], [0.710, 0.710, 0.191], [0.711, 0.270, 0.191], [0.730, 0.289, 0.809], [0.762, 0.762, 0.788]],
  "volume_a3_per_cell": 425.92,
  "magnetic_moment_mub_per_fu": 0.0,
  "dft_energy_ev_per_cell": -76.6
}